Entry 1:
Material: LiLa2Te
Method: DFT, PBEsol
State: relaxed

abc: 4.237 4.237 6.629
angles: 90.00 90.00 90.00
Space group P4mm (No. 99)
Symmetry-distinct sites (fractional):
Li  0.000  0.000  0.000 x1
La  0.000  0.000  0.466 x1
La  0.500  0.500  0.769 x1
Te  0.500  0.500  0.270 x1

Results
**Theoretical density**: 5755 kg/m3
**Formation energy without anion corrections**: -222 kJ/mol of formula units
**Final energy**: -18.48 eV per formula unit

Entry 2:
Material: LiLaTi2
Method: DFT, PBEsol
State: relaxed

abc: 3.979 3.979 20.277
angles: 90.00 90.00 90.00
Space group I-42d (No. 122)
Symmetry-distinct sites (fractional):
Li  0.000  0.000  0.000 x4
La  0.000  0.000  0.500 x4
Ti  0.242  0.250  0.125 x8

Results
**Theoretical density**: 4998 kg/m3
**Final energy**: -21.59 eV per formula unit
**Formation energy from the elements**: 0.593 eV/atom

Entry 3:
Material: LiLaTi2
Method: DFT, PBEsol
State: relaxed

abc: 6.735 6.735 6.735
angles: 90.00 90.00 90.00
Space group Fm-3m (No. 225)
Symmetry-distinct sites (fractional):
Li  0.000  0.000  0.000 x4
La  0.000  0.000  0.500 x4
Ti  0.250  0.250  0.250 x8

Results
**Theoretical density**: 5251 kg/m3
**Final energy**: -21.66 eV per formula unit
**Formation energy from the elements**: 0.576 eV/atom

Entry 4:
Material: Li2LaTl
Method: DFT, PBEsol
State: relaxed

abc: 7.302 7.302 7.302
angles: 90.00 90.00 90.00
Space group F-43m (No. 216)
Symmetry-distinct sites (fractional):
Li  0.000  0.000  0.000 x4
Li  0.250  0.250  0.250 x4
La  0.250  0.250  0.750 x4
Tl  0.000  0.000  0.500 x4

Results
**Theoretical density**: 6094 kg/m3
**Final energy**: -12.91 eV per formula unit
**Formation energy from the elements**: -0.249 eV/atom

Entry 5:
Material: Li2LaTl
Method: DFT, PBEsol
State: relaxed

abc: 7.018 7.018 7.018
angles: 90.00 90.00 90.00
Space group Fm-3m (No. 225)
Symmetry-distinct sites (fractional):
Li  0.250  0.250  0.250 x8
La  0.000  0.000  0.000 x4
Tl  0.000  0.000  0.500 x4

Results
**Theoretical density**: 6865 kg/m3
**Final energy**: -13.09 eV per formula unit
**Formation energy from the elements**: -0.294 eV/atom

Entry 6:
Material: LiLa3Tl
Method: DFT, PBEsol
State: relaxed

abc: 5.272 5.272 5.272
angles: 90.00 90.00 90.00
Space group Pm-3m (No. 221)
Symmetry-distinct sites (fractional):
Li  0.000  0.000  0.000 x1
La  0.000  0.000  0.500 x3
Tl  0.500  0.500  0.500 x1

Results
**Theoretical density**: 7116 kg/m3
**Final energy**: -19.41 eV per formula unit
**Formation energy from the elements**: 0.244 eV/atom